Entry 1:
VASP calculation (PBE) on a relaxed Sr5HoPb6 crystal.

Values from the calculation:
Spin magnetization in Bohr magnetons per cell: 0.0
Calculated volume in Å³ per cell: 403.41

Cell: 9.693 9.693 6.028 Å, 97.89 97.89 46.09°
Positions (direct):
Sr  0.000  0.000  0.000
Sr  0.165  0.165  0.678
Sr  0.319  0.319  0.295
Sr  0.681  0.681  0.705
Sr  0.835  0.835  0.322
Ho  0.500  0.500  0.000
Pb  0.118  0.574  0.810
Pb  0.280  0.720  0.500
Pb  0.426  0.882  0.190
Pb  0.574  0.118  0.810
Pb  0.720  0.280  0.500
Pb  0.882  0.426  0.190

---

Entry 2:
VASP calculation (PBE) on a relaxed TbHo4Pb5 crystal.

Values from the calculation:
Spin magnetization in Bohr magnetons per cell: 0.0
Calculated volume in Å³ per cell: 309.57

Cell: 7.691 7.691 7.691 Å, 99.59 99.59 131.81°
Positions (direct):
Tb  0.000  0.000  0.000
Ho  0.202  0.401  0.600
Ho  0.401  0.801  0.199
Ho  0.603  0.202  0.801
Ho  0.801  0.603  0.400
Pb  0.102  0.700  0.798
Pb  0.303  0.102  0.401
Pb  0.500  0.500  0.000
Pb  0.700  0.902  0.599
Pb  0.902  0.303  0.202

---

Entry 3:
VASP calculation (PBE) on a relaxed TbHo5Pb4 crystal.

Values from the calculation:
Spin magnetization in Bohr magnetons per cell: 0.0
Calculated volume in Å³ per cell: 313.43

Cell: 8.987 8.987 9.753 Å, 92.59 92.59 23.47°
Positions (direct):
Tb  0.000  0.000  0.000
Ho  0.000  0.000  0.500
Ho  0.308  0.308  0.613
Ho  0.345  0.345  0.245
Ho  0.655  0.655  0.755
Ho  0.692  0.692  0.387
Pb  0.183  0.183  0.066
Pb  0.475  0.475  0.747
Pb  0.525  0.525  0.253
Pb  0.817  0.817  0.934

---

Entry 4:
VASP calculation (PBE) on a relaxed Tb2HoPb crystal.

Values from the calculation:
Spin magnetization in Bohr magnetons per cell: 0.0
Calculated volume in Å³ per cell: 123.51
Energy above the lowest structure with this stoichiometry in meV/atom: 123

Cell: 11.136 11.136 11.136 Å, 18.66 18.66 18.66°
Positions (direct):
Tb  0.000  0.000  0.000
Tb  0.172  0.172  0.172
Ho  0.419  0.419  0.419
Pb  0.586  0.586  0.586

---

Number 1: formation energy from the elements -11.8 kcal/mol of atoms. Number 2: formation energy from the elements -7.3 kcal/mol of atoms. Number 3: formation energy from the elements -4.4 kcal/mol of atoms. Number 4: formation energy from the elements -3.7 kcal/mol of atoms.